An optimized crystal structure of V2O5. Source: Alexandria via LeMat-Bulk, functional PBE with a Hubbard U.

## Properties
DFT total energy: -7.34 eV/atom
V: 93.9 Å³ per cell

abc: 5.9033 5.9033 5.6902
angles: 85.07 85.07 28.38
Atoms (fractional coordinates):
O1 0.3082 0.3082 0.6230
V1 0.8581 0.8581 0.3818
V2 0.1419 0.1419 0.6182
O2 0.0000 0.0000 0.5000
O3 0.3823 0.3823 0.1892
O4 0.6177 0.6177 0.8108
O5 0.6918 0.6918 0.3770